The following is a GGA-PBE calculation of a geometry-optimized CsK2In structure, from Alexandria via LeMat-Bulk.

Computed properties:
Density of states at the Fermi level: 1.052 states/eV/atom
Total energy: -14.08 eV for the cell shown
Total moment: 0.00 Bohr magnetons per cell
Energy of formation: 0.27 eV/atom
Excess energy over the best structure of this formula in the dataset: 0.219 eV/atom
Theoretical density: 2079 kg/m3

Geometry as CIF:
```
data_CsK2In
_chemical_formula_sum 'Cs3 K6 In3'
_space_group_name_H-M_alt 'R -3 m'
_space_group_IT_number 166
_space_group_name_Hall '-R 3 2"'
_cell_length_a 4.3645
_cell_length_b 4.3645
_cell_length_c 47.3372
_cell_angle_alpha 90.00
_cell_angle_beta 90.00
_cell_angle_gamma 120.00
loop_
_atom_site_label
_atom_site_type_symbol
_atom_site_fract_x
_atom_site_fract_y
_atom_site_fract_z
Cs1 Cs 0.0000 0.0000 0.0000
K1 K 0.0000 0.0000 0.4250
In1 In 0.0000 0.0000 0.5000
```